{"formula": "CrRu3O", "functional": "PBE+U", "state": "optimized geometry", "cell": [[4.524, 0.000, 0.000], [0.000, 4.524, 0.000], [0.000, 0.000, 4.524]], "species": ["O", "Ru", "Cr", "Ru", "Ru"], "frac_coords": [[0.500, 0.500, 0.500], [0.500, 0.000, 0.000], [0.000, 0.000, 0.000], [0.000, 0.500, 0.000], [0.000, 0.000, 0.500]], "relative_energy_ev_per_atom": 1.888, "total_magnetization_mub_per_cell": 4.0}